Version A
{
  "formula": "PrDy2I",
  "functional": "PBE-GGA",
  "state": "relaxed",
  "lattice_angstrom": [[3.7804, 0.0000, 0.0000], [-1.8902, 3.2739, 0.0000], [0.0000, 0.0000, 31.8379]],
  "species": ["Pr", "Pr", "Pr", "Dy", "Dy", "Dy", "Dy", "Dy", "Dy", "I", "I", "I"],
  "fractional_positions": [[0.0000, 0.0000, 0.0000], [0.3333, 0.6667, 0.6667], [0.6667, 0.3333, 0.3333], [0.0000, 0.0000, 0.5772], [0.0000, 0.0000, 0.7567], [0.3333, 0.6667, 0.2439], [0.3333, 0.6667, 0.4233], [0.6667, 0.3333, 0.0900], [0.6667, 0.3333, 0.9105], [0.0000, 0.0000, 0.1669], [0.3333, 0.6667, 0.8335], [0.6667, 0.3333, 0.5002]]
}


Version B
{
  "formula": "PrDy2I",
  "functional": "PBE-GGA",
  "state": "relaxed",
  "lattice_angstrom": [[3.6142, 0.0000, 0.0000], [-1.8071, 3.1300, 0.0000], [0.0000, 0.0000, 35.4340]],
  "species": ["Pr", "Pr", "Pr", "Dy", "Dy", "Dy", "Dy", "Dy", "Dy", "I", "I", "I"],
  "fractional_positions": [[0.0000, 0.0000, 0.0000], [0.3333, 0.6667, 0.6667], [0.6667, 0.3333, 0.3333], [0.0000, 0.0000, 0.0964], [0.0000, 0.0000, 0.9036], [0.3333, 0.6667, 0.5702], [0.3333, 0.6667, 0.7631], [0.6667, 0.3333, 0.2369], [0.6667, 0.3333, 0.4298], [0.0000, 0.0000, 0.5000], [0.3333, 0.6667, 0.1667], [0.6667, 0.3333, 0.8333]]
}


Relative to the most stable structure, the computed energies are version A 0; version B 262, all in meV per atom.


Version A
{
  "formula": "Dy2PuI",
  "functional": "PBE-GGA",
  "state": "relaxed",
  "lattice_angstrom": [[3.5961, 0.0000, 0.0000], [0.0000, 3.5961, 0.0000], [0.0000, 0.0000, 9.3903]],
  "species": ["Dy", "Dy", "Pu", "I"],
  "fractional_positions": [[0.0000, 0.0000, 0.2501], [0.0000, 0.0000, 0.7499], [0.5000, 0.5000, 0.0000], [0.5000, 0.5000, 0.5000]]
}


Version B
{
  "formula": "Dy2PuI",
  "functional": "PBE-GGA",
  "state": "relaxed",
  "lattice_angstrom": [[3.6874, 0.0000, 0.0000], [-1.8437, 3.1934, 0.0000], [0.0000, 0.0000, 31.1314]],
  "species": ["Dy", "Dy", "Dy", "Dy", "Dy", "Dy", "Pu", "Pu", "Pu", "I", "I", "I"],
  "fractional_positions": [[0.0000, 0.0000, 0.2469], [0.0000, 0.0000, 0.7531], [0.3333, 0.6667, 0.4198], [0.3333, 0.6667, 0.9135], [0.6667, 0.3333, 0.0865], [0.6667, 0.3333, 0.5802], [0.0000, 0.0000, 0.0000], [0.3333, 0.6667, 0.6667], [0.6667, 0.3333, 0.3333], [0.0000, 0.0000, 0.5000], [0.3333, 0.6667, 0.1667], [0.6667, 0.3333, 0.8333]]
}


Relative to the most stable structure, the computed energies are version A 73; version B 0, all in meV per atom.


Version A
{
  "formula": "DyPuI6",
  "functional": "PBE-GGA",
  "state": "relaxed",
  "lattice_angstrom": [[3.8332, 2.2131, 7.0522], [-3.8332, 2.2131, 7.0522], [0.0000, -4.4263, 7.0522]],
  "species": ["Dy", "Pu", "I", "I", "I", "I", "I", "I"],
  "fractional_positions": [[0.0000, 0.0000, 0.0000], [0.5000, 0.5000, 0.5000], [0.0893, 0.4044, 0.7512], [0.2488, 0.9107, 0.5956], [0.4044, 0.7512, 0.0893], [0.5956, 0.2488, 0.9107], [0.7512, 0.0893, 0.4044], [0.9107, 0.5956, 0.2488]]
}


Version B
{
  "formula": "DyPuI6",
  "functional": "PBE-GGA",
  "state": "relaxed",
  "lattice_angstrom": [[8.0340, 0.0000, 0.0000], [0.0000, 13.7464, 0.0000], [-0.4703, 0.0000, 7.7602]],
  "species": ["Dy", "Dy", "Pu", "Pu", "I", "I", "I", "I", "I", "I", "I", "I", "I", "I", "I", "I"],
  "fractional_positions": [[0.0000, 0.0000, 0.0000], [0.5000, 0.5000, 0.0000], [0.0000, 0.0000, 0.5000], [0.5000, 0.5000, 0.5000], [0.1499, 0.1505, 0.2521], [0.1499, 0.8495, 0.2521], [0.2018, 0.5000, 0.2242], [0.2982, 0.0000, 0.7758], [0.3501, 0.3495, 0.7479], [0.3501, 0.6505, 0.7479], [0.6499, 0.3495, 0.2521], [0.6499, 0.6505, 0.2521], [0.7018, 0.0000, 0.2242], [0.7982, 0.5000, 0.7758], [0.8501, 0.1505, 0.7479], [0.8501, 0.8495, 0.7479]]
}


Relative to the most stable structure, the computed energies are version A 50; version B 0, all in meV per atom.


Version A
{
  "formula": "RbDyI4",
  "functional": "PBE-GGA",
  "state": "relaxed",
  "lattice_angstrom": [[5.4858, -9.0452, 0.0000], [5.4858, 9.0452, 0.0000], [-2.4494, 0.0000, 7.4747]],
  "species": ["Rb", "Rb", "Dy", "Dy", "I", "I", "I", "I", "I", "I", "I", "I"],
  "fractional_positions": [[0.2373, 0.7627, 0.7500], [0.7627, 0.2373, 0.2500], [0.0661, 0.9339, 0.2500], [0.9339, 0.0661, 0.7500], [0.0025, 0.3623, 0.7046], [0.1038, 0.2185, 0.1470], [0.2185, 0.1038, 0.6470], [0.3623, 0.0025, 0.2046], [0.6377, 0.9975, 0.7954], [0.7815, 0.8962, 0.3530], [0.8962, 0.7815, 0.8530], [0.9975, 0.6377, 0.2954]]
}


Version B
{
  "formula": "RbDyI4",
  "functional": "PBE-GGA",
  "state": "relaxed",
  "lattice_angstrom": [[3.0523, -11.3993, 0.0000], [3.0523, 11.3993, 0.0000], [0.0000, 0.0000, 8.4909]],
  "species": ["Rb", "Rb", "Dy", "Dy", "I", "I", "I", "I", "I", "I", "I", "I"],
  "fractional_positions": [[0.1618, 0.8382, 0.5000], [0.8382, 0.1618, 0.0000], [0.4091, 0.5909, 0.4336], [0.5909, 0.4091, 0.9336], [0.0817, 0.9183, 0.9173], [0.2992, 0.7008, 0.2432], [0.3431, 0.6569, 0.7292], [0.4711, 0.5289, 0.1014], [0.5289, 0.4711, 0.6014], [0.6569, 0.3431, 0.2292], [0.7008, 0.2992, 0.7432], [0.9183, 0.0817, 0.4173]]
}


Relative to the most stable structure, the computed energies are version A 0; version B 31, all in meV per atom.


Version A
{
  "formula": "Rb2DyI5",
  "functional": "PBE-GGA",
  "state": "relaxed",
  "lattice_angstrom": [[14.8217, 0.0000, 0.0000], [0.0000, 9.9120, 0.0000], [0.0000, 0.0000, 9.5732]],
  "species": ["Rb", "Rb", "Rb", "Rb", "Rb", "Rb", "Rb", "Rb", "Dy", "Dy", "Dy", "Dy", "I", "I", "I", "I", "I", "I", "I", "I", "I", "I", "I", "I", "I", "I", "I", "I", "I", "I", "I", "I"],
  "fractional_positions": [[0.1692, 0.0111, 0.0903], [0.1692, 0.4889, 0.0903], [0.3308, 0.5111, 0.5903], [0.3308, 0.9889, 0.5903], [0.6692, 0.0111, 0.4097], [0.6692, 0.4889, 0.4097], [0.8308, 0.5111, 0.9097], [0.8308, 0.9889, 0.9097], [0.0060, 0.2500, 0.5752], [0.4940, 0.7500, 0.0752], [0.5060, 0.2500, 0.9248], [0.9940, 0.7500, 0.4248], [0.0135, 0.2500, 0.9062], [0.0575, 0.5489, 0.6682], [0.0575, 0.9511, 0.6682], [0.1863, 0.2500, 0.4146], [0.1967, 0.7500, 0.3645], [0.3033, 0.2500, 0.8645], [0.3137, 0.7500, 0.9146], [0.4425, 0.0489, 0.1682], [0.4425, 0.4511, 0.1682], [0.4865, 0.7500, 0.4062], [0.5135, 0.2500, 0.5938], [0.5575, 0.5489, 0.8318], [0.5575, 0.9511, 0.8318], [0.6863, 0.2500, 0.0854], [0.6967, 0.7500, 0.1355], [0.8033, 0.2500, 0.6355], [0.8137, 0.7500, 0.5854], [0.9425, 0.0489, 0.3318], [0.9425, 0.4511, 0.3318], [0.9865, 0.7500, 0.0938]]
}


Version B
{
  "formula": "Rb2DyI5",
  "functional": "PBE-GGA",
  "state": "relaxed",
  "lattice_angstrom": [[9.0514, 0.0000, 0.0000], [0.0000, 9.0514, 0.0000], [0.0000, 0.0000, 10.6238]],
  "species": ["Rb", "Rb", "Rb", "Rb", "Dy", "Dy", "I", "I", "I", "I", "I", "I", "I", "I", "I", "I"],
  "fractional_positions": [[0.0000, 0.5000, 0.0000], [0.0000, 0.5000, 0.5000], [0.5000, 0.0000, 0.0000], [0.5000, 0.0000, 0.5000], [0.0000, 0.0000, 0.2720], [0.5000, 0.5000, 0.7720], [0.0000, 0.0000, 0.5376], [0.2306, 0.2306, 0.2230], [0.2306, 0.7694, 0.2230], [0.2694, 0.2694, 0.7230], [0.2694, 0.7306, 0.7230], [0.5000, 0.5000, 0.0376], [0.7306, 0.2694, 0.7230], [0.7306, 0.7306, 0.7230], [0.7694, 0.2306, 0.2230], [0.7694, 0.7694, 0.2230]]
}


Relative to the most stable structure, the computed energies are version A 0; version B 51, all in meV per atom.


Version A
{
  "formula": "Dy2SI",
  "functional": "PBE-GGA",
  "state": "relaxed",
  "lattice_angstrom": [[3.9012, 0.0000, 0.0000], [-1.9506, 3.3785, 0.0000], [0.0000, 0.0000, 23.2936]],
  "species": ["Dy", "Dy", "Dy", "Dy", "Dy", "Dy", "S", "S", "S", "I", "I", "I"],
  "fractional_positions": [[0.0000, 0.0000, 0.2293], [0.0000, 0.0000, 0.7707], [0.3333, 0.6667, 0.4373], [0.3333, 0.6667, 0.8960], [0.6667, 0.3333, 0.1040], [0.6667, 0.3333, 0.5627], [0.0000, 0.0000, 0.5000], [0.3333, 0.6667, 0.1667], [0.6667, 0.3333, 0.8333], [0.0000, 0.0000, 0.0000], [0.3333, 0.6667, 0.6667], [0.6667, 0.3333, 0.3333]]
}


Version B
{
  "formula": "Dy2SI",
  "functional": "PBE-GGA",
  "state": "relaxed",
  "lattice_angstrom": [[3.8877, 0.0000, 0.0000], [-1.9438, 3.3668, 0.0000], [0.0000, 0.0000, 23.2098]],
  "species": ["Dy", "Dy", "Dy", "Dy", "Dy", "Dy", "S", "S", "S", "I", "I", "I"],
  "fractional_positions": [[0.0000, 0.0000, 0.0000], [0.0000, 0.0000, 0.2032], [0.3333, 0.6667, 0.6667], [0.3333, 0.6667, 0.8699], [0.6667, 0.3333, 0.3333], [0.6667, 0.3333, 0.5366], [0.0000, 0.0000, 0.6013], [0.3333, 0.6667, 0.2680], [0.6667, 0.3333, 0.9347], [0.0000, 0.0000, 0.4333], [0.3333, 0.6667, 0.1000], [0.6667, 0.3333, 0.7667]]
}


Relative to the most stable structure, the computed energies are version A 8; version B 0, all in meV per atom.


Version A
{
  "formula": "Sm2DyI",
  "functional": "PBE-GGA",
  "state": "relaxed",
  "lattice_angstrom": [[3.6310, 0.0000, 0.0000], [-1.8155, 3.1446, 0.0000], [0.0000, 0.0000, 35.4848]],
  "species": ["Sm", "Sm", "Sm", "Sm", "Sm", "Sm", "Dy", "Dy", "Dy", "I", "I", "I"],
  "fractional_positions": [[0.0000, 0.0000, 0.0952], [0.0000, 0.0000, 0.9048], [0.3333, 0.6667, 0.5715], [0.3333, 0.6667, 0.7619], [0.6667, 0.3333, 0.2381], [0.6667, 0.3333, 0.4285], [0.0000, 0.0000, 0.0000], [0.3333, 0.6667, 0.6667], [0.6667, 0.3333, 0.3333], [0.0000, 0.0000, 0.5000], [0.3333, 0.6667, 0.1667], [0.6667, 0.3333, 0.8333]]
}


Version B
{
  "formula": "Sm2DyI",
  "functional": "PBE-GGA",
  "state": "relaxed",
  "lattice_angstrom": [[3.6759, 0.0000, 0.0000], [0.0000, 3.6759, 0.0000], [0.0000, 0.0000, 9.6414]],
  "species": ["Sm", "Sm", "Dy", "I"],
  "fractional_positions": [[0.0000, 0.0000, 0.2432], [0.0000, 0.0000, 0.7568], [0.5000, 0.5000, 0.5000], [0.5000, 0.5000, 0.0000]]
}


Version C
{
  "formula": "Sm2DyI",
  "functional": "PBE-GGA",
  "state": "relaxed",
  "lattice_angstrom": [[3.7688, 0.0000, 0.0000], [-1.8844, 3.2639, 0.0000], [0.0000, 0.0000, 31.9898]],
  "species": ["Sm", "Sm", "Sm", "Sm", "Sm", "Sm", "Dy", "Dy", "Dy", "I", "I", "I"],
  "fractional_positions": [[0.0000, 0.0000, 0.0000], [0.0000, 0.0000, 0.1547], [0.3333, 0.6667, 0.6667], [0.3333, 0.6667, 0.8214], [0.6667, 0.3333, 0.3333], [0.6667, 0.3333, 0.4880], [0.0000, 0.0000, 0.5776], [0.3333, 0.6667, 0.2443], [0.6667, 0.3333, 0.9109], [0.0000, 0.0000, 0.4104], [0.3333, 0.6667, 0.0771], [0.6667, 0.3333, 0.7438]]
}


Relative to the most stable structure, the computed energies are version A 319; version B 68; version C 0, all in meV per atom.


Version A
{
  "formula": "Tb2DyI",
  "functional": "PBE-GGA",
  "state": "relaxed",
  "lattice_angstrom": [[3.7653, 0.0000, 0.0000], [-1.8826, 3.2608, 0.0000], [0.0000, 0.0000, 31.3325]],
  "species": ["Tb", "Tb", "Tb", "Tb", "Tb", "Tb", "Dy", "Dy", "Dy", "I", "I", "I"],
  "fractional_positions": [[0.0000, 0.0000, 0.0000], [0.0000, 0.0000, 0.1751], [0.3333, 0.6667, 0.6667], [0.3333, 0.6667, 0.8418], [0.6667, 0.3333, 0.3333], [0.6667, 0.3333, 0.5085], [0.0000, 0.0000, 0.7547], [0.3333, 0.6667, 0.4213], [0.6667, 0.3333, 0.0880], [0.0000, 0.0000, 0.5878], [0.3333, 0.6667, 0.2544], [0.6667, 0.3333, 0.9211]]
}


Version B
{
  "formula": "Tb2DyI",
  "functional": "PBE-GGA",
  "state": "relaxed",
  "lattice_angstrom": [[3.6393, 0.0000, 0.0000], [0.0000, 3.6393, 0.0000], [0.0000, 0.0000, 9.5195]],
  "species": ["Tb", "Tb", "Dy", "I"],
  "fractional_positions": [[0.0000, 0.0000, 0.2444], [0.0000, 0.0000, 0.7556], [0.5000, 0.5000, 0.5000], [0.5000, 0.5000, 0.0000]]
}


Relative to the most stable structure, the computed energies are version A 0; version B 56, all in meV per atom.